[1]
The following is a DFT calculation (PBE-GGA) of a relaxed Ni9Sb crystal.

CIF file:
```
data_Ni9Sb
_chemical_formula_sum 'Ni18 Sb2'
_cell_length_a 2.5904
_cell_length_b 3.4374
_cell_length_c 38.1966
_cell_angle_alpha 90.00
_cell_angle_beta 90.00
_cell_angle_gamma 90.00
_space_group_name_H-M_alt 'P 1'
_space_group_IT_number 1
loop_
_space_group_symop_operation_xyz
'x,y,z'
loop_
_atom_site_label
_atom_site_type_symbol
_atom_site_fract_x
_atom_site_fract_y
_atom_site_fract_z
Ni1 Ni 0.0000 0.0000 0.8236
Ni2 Ni 0.0000 0.0000 0.1440
Ni3 Ni 0.5000 0.5000 0.8560
Ni4 Ni 0.5000 0.5000 0.9840
Ni5 Ni 0.5000 0.5000 0.9201
Sb1 Sb 0.0000 0.0000 0.6857
Ni6 Ni 0.0000 0.0000 0.0799
Ni7 Ni 0.5000 0.5000 0.7259
Ni8 Ni 0.0000 0.0000 0.7594
Ni9 Ni 0.0000 0.0000 0.9522
Ni10 Ni 0.0000 0.0000 0.2741
Ni11 Ni 0.5000 0.5000 0.7915
Ni12 Ni 0.5000 0.5000 0.1764
Ni13 Ni 0.5000 0.5000 0.1119
Ni14 Ni 0.5000 0.5000 0.0478
Ni15 Ni 0.5000 0.5000 0.2406
Ni16 Ni 0.0000 0.0000 0.0160
Ni17 Ni 0.0000 0.0000 0.2085
Sb2 Sb 0.5000 0.5000 0.3143
Ni18 Ni 0.0000 0.0000 0.8881
```

***

[2]
The following is a DFT calculation (PBE-GGA) of a relaxed NiSb3 crystal.

CIF file:
```
data_NiSb3
_chemical_formula_sum 'Ni4 Sb12'
_cell_length_a 8.0008
_cell_length_b 8.0008
_cell_length_c 8.0008
_cell_angle_alpha 109.47
_cell_angle_beta 109.47
_cell_angle_gamma 109.47
_space_group_name_H-M_alt 'P 1'
_space_group_IT_number 1
loop_
_space_group_symop_operation_xyz
'x,y,z'
loop_
_atom_site_label
_atom_site_type_symbol
_atom_site_fract_x
_atom_site_fract_y
_atom_site_fract_z
Ni1 Ni 0.0000 0.5000 0.0000
Sb1 Sb 0.8406 0.6626 0.5031
Sb2 Sb 0.1594 0.3375 0.4969
Sb3 Sb 0.1780 0.8406 0.3375
Sb4 Sb 0.8220 0.1594 0.6626
Sb5 Sb 0.4969 0.1594 0.3375
Sb6 Sb 0.3375 0.1780 0.8406
Sb7 Sb 0.6626 0.8220 0.1594
Sb8 Sb 0.6626 0.5031 0.8406
Sb9 Sb 0.3375 0.4969 0.1594
Ni2 Ni 0.5000 0.0000 0.0000
Sb10 Sb 0.1594 0.6626 0.8220
Sb11 Sb 0.5031 0.8406 0.6626
Ni3 Ni 0.5000 0.5000 0.5000
Ni4 Ni 0.0000 0.0000 0.5000
Sb12 Sb 0.8406 0.3375 0.1780
```

***

[3]
The following is a DFT calculation (PBE-GGA) of a relaxed NiSb crystal.

CIF file:
```
data_NiSb
_chemical_formula_sum 'Ni4 Sb4'
_cell_length_a 5.2270
_cell_length_b 3.8645
_cell_length_c 7.2642
_cell_angle_alpha 90.00
_cell_angle_beta 90.00
_cell_angle_gamma 90.00
_space_group_name_H-M_alt 'P 1'
_space_group_IT_number 1
loop_
_space_group_symop_operation_xyz
'x,y,z'
loop_
_atom_site_label
_atom_site_type_symbol
_atom_site_fract_x
_atom_site_fract_y
_atom_site_fract_z
Ni1 Ni 0.5000 0.5000 0.5000
Ni2 Ni 0.7500 0.0000 0.3231
Ni3 Ni 0.0000 0.5000 0.5000
Sb1 Sb 0.2500 0.5000 0.8927
Ni4 Ni 0.2500 0.0000 0.6769
Sb2 Sb 0.7500 0.5000 0.1073
Sb3 Sb 0.2500 0.0000 0.3192
Sb4 Sb 0.7500 0.0000 0.6808
```

***

Number 1: uncorrected energy -5.353 eV/atom, M_tot 4.77 μB per formula unit. Number 2: uncorrected energy -4.633 eV/atom, M_tot 0.00 μB per formula unit. Number 3: uncorrected energy -5.004 eV/atom, M_tot 0.00 μB per formula unit.